! K3Sb (PBEsol, optimized geometry); values from VASP
! Space group: Pmmn (59)
! Offset from the most stable computed form, meV/atom: 16.8
! Formation energy (no corrections), eV per formula unit: -1.58
&SYSTEM
  ibrav = 0, nat = 8, ntyp = 2
/
ATOMIC_SPECIES
K 39.10 K.upf
Sb 121.76 Sb.upf
CELL_PARAMETERS angstrom
6.002 0.000 0.000
0.000 8.025 0.000
0.000 0.000 6.193
ATOMIC_POSITIONS angstrom
K 1.500 0.027 1.277
K 1.500 3.986 1.277
K 1.500 6.019 4.063
K 4.501 2.006 2.130
K 4.501 4.039 4.916
K 4.501 7.999 4.916
Sb 1.500 2.006 4.430
Sb 4.501 6.019 1.763